[1]
A plane-wave DFT calculation with GGA-PBE was carried out for crystalline Al4TePt at its relaxed geometry.

Properties
Space group ... No. 216

Structure (POSCAR):
```
Al4TePt
1.0
0.000 3.806 3.806
3.806 0.000 3.806
3.806 3.806 0.000
Al Te Pt
4 1 1
direct
0.376 0.376 0.376 Al
0.376 0.872 0.376 Al
0.376 0.376 0.872 Al
0.872 0.376 0.376 Al
0.000 0.000 0.000 Te
0.750 0.750 0.750 Pt
```

---

[2]
A plane-wave DFT calculation with GGA-PBE was carried out for crystalline Al2TePt at its relaxed geometry.

Properties
Space group ... No. 123

Structure (POSCAR):
```
Al2TePt
1.0
-0.715 2.702 1.428
0.835 -1.238 2.761
7.218 2.476 -1.072
Pt Al Te
1 2 1
direct
0.500 0.500 0.250 Pt
0.000 0.000 0.445 Al
0.000 0.000 0.055 Al
0.500 0.500 0.750 Te
```

---

[3]
A plane-wave DFT calculation with GGA-PBE was carried out for crystalline AlTePt2 at its relaxed geometry.

Properties
Energy above the lowest structure with this stoichiometry ... 0.122 eV per atom
Space group ... No. 166

Structure (POSCAR):
```
AlTePt2
1.0
8.905 0.012 0.007
8.366 3.051 0.006
8.366 1.485 2.665
Te Pt Al
1 2 1
direct
0.250 0.250 0.250 Te
0.487 0.487 0.487 Pt
0.013 0.013 0.013 Pt
0.750 0.750 0.750 Al
```

---

no.,raw formation energy (kJ per mole of atoms)
1,18.9
2,-25.8
3,-31.4